No. 1
First-principles (GGA-PBE) data for crystalline Ba3Li6Hg5 at its relaxed geometry, as listed in the Alexandria database.

Values from the calculation:
- E_tot (eV/atom) = -1.677
- formation energy (eV per atom) = -0.337

Unit cell a=4.597 b=12.152 c=14.140 alpha=90.00 beta=90.00 gamma=90.00
Fractional coordinates of all 28 atoms:
Ba1 0.000 0.252 0.661
Ba2 0.500 0.748 0.161
Ba3 0.500 0.748 0.839
Ba4 0.000 0.265 0.000
Ba5 0.500 0.735 0.500
Ba6 0.000 0.252 0.339
Li1 0.000 0.005 0.830
Li2 0.500 0.995 0.670
Li3 0.500 0.424 0.806
Li4 0.500 0.512 0.000
Li5 0.000 0.488 0.500
Li6 0.000 0.576 0.694
Li7 0.000 0.576 0.306
Li8 0.500 0.013 0.000
Li9 0.000 0.005 0.170
Li10 0.500 0.424 0.194
Li11 0.000 0.987 0.500
Li12 0.500 0.995 0.330
Hg1 0.000 0.527 0.887
Hg2 0.000 0.850 0.668
Hg3 0.000 0.877 0.000
Hg4 0.500 0.473 0.613
Hg5 0.500 0.123 0.500
Hg6 0.000 0.527 0.113
Hg7 0.500 0.473 0.387
Hg8 0.000 0.850 0.332
Hg9 0.500 0.150 0.832
Hg10 0.500 0.150 0.168

No. 2
First-principles (GGA-PBE) data for crystalline BaLi3Hg at its relaxed geometry, as listed in the Alexandria database.

Values from the calculation:
- E_tot (eV/atom) = -1.775
- energy above the most stable polymorph in this dataset (eV/atom) = 0.000
- formation energy (eV per atom) = -0.182

Unit cell a=4.616 b=7.634 c=8.288 alpha=76.10 beta=90.00 gamma=90.00
Fractional coordinates of all 10 atoms:
Ba1 0.381 0.521 0.217
Ba2 0.881 0.154 0.589
Li1 0.881 0.696 0.504
Li2 0.381 0.978 0.303
Li3 0.881 0.698 0.867
Li4 0.881 0.232 0.028
Li5 0.381 0.443 0.778
Li6 0.381 0.977 0.939
Hg1 0.381 0.808 0.656
Hg2 0.881 0.867 0.150

> Number 2 is which compound?

BaLi3Hg